PuAgH8Ir2 | GGA-PBE | relaxed Values from VASP.

Cell and atoms, written as Quantum ESPRESSO input:
```
&SYSTEM
  ibrav = 0, nat = 12, ntyp = 4
/
ATOMIC_SPECIES
Pu 244.00 Pu.upf
Ag 107.87 Ag.upf
H 1.01 H.upf
Ir 192.22 Ir.upf
CELL_PARAMETERS angstrom
2.454 1.417 5.458
-2.454 1.417 5.458
0.000 -2.834 5.458
ATOMIC_POSITIONS crystal
Pu 0.000 0.000 0.000
Ag 0.500 0.500 0.500
H 0.080 0.401 0.866
H 0.134 0.920 0.599
H 0.311 0.311 0.311
H 0.401 0.866 0.080
H 0.599 0.134 0.920
H 0.689 0.689 0.689
H 0.866 0.080 0.401
H 0.920 0.599 0.134
Ir 0.209 0.209 0.209
Ir 0.791 0.791 0.791
```

Properties
* E_tot: -61.61 eV per cell
* ρ: 10853 kg/m3
* DOS at the Fermi energy: 15.2 states/eV per cell

***

Rb2AgH6Ir | GGA-PBE | relaxed Values from VASP.

Cell and atoms, written as Quantum ESPRESSO input:
```
&SYSTEM
  ibrav = 0, nat = 10, ntyp = 4
/
ATOMIC_SPECIES
Rb 85.47 Rb.upf
Ag 107.87 Ag.upf
H 1.01 H.upf
Ir 192.22 Ir.upf
CELL_PARAMETERS angstrom
5.947 0.000 0.000
-2.973 5.150 0.000
0.000 0.000 5.381
ATOMIC_POSITIONS crystal
Rb 0.333 0.667 0.235
Rb 0.667 0.333 0.765
Ag 0.000 0.000 0.500
H 0.138 0.276 0.829
H 0.138 0.862 0.829
H 0.276 0.138 0.171
H 0.724 0.862 0.829
H 0.862 0.138 0.171
H 0.862 0.724 0.171
Ir 0.000 0.000 0.000
```

Properties
* E_tot: -36.59 eV per cell
* ρ: 4807 kg/m3
* DOS at the Fermi energy: 0.0 states/eV per cell

***

RbAgH6Ir | GGA-PBE | relaxed Values from VASP.

Cell and atoms, written as Quantum ESPRESSO input:
```
&SYSTEM
  ibrav = 0, nat = 9, ntyp = 4
/
ATOMIC_SPECIES
Rb 85.47 Rb.upf
Ag 107.87 Ag.upf
H 1.01 H.upf
Ir 192.22 Ir.upf
CELL_PARAMETERS angstrom
4.856 0.000 0.000
-2.410 4.673 0.000
-0.001 -0.001 5.579
ATOMIC_POSITIONS crystal
Rb 0.000 0.000 0.000
Ag 0.669 0.331 0.500
H 0.081 0.522 0.691
H 0.082 0.520 0.309
H 0.456 0.534 0.687
H 0.459 0.536 0.313
H 0.487 0.976 0.283
H 0.487 0.976 0.717
Ir 0.356 0.719 0.500
```

Properties
* E_tot: -33.35 eV per cell
* ρ: 5136 kg/m3
* DOS at the Fermi energy: 0.7 states/eV per cell

***

AgHIr2Rh | GGA-PBE | relaxed Values from VASP.

Cell and atoms, written as Quantum ESPRESSO input:
```
&SYSTEM
  ibrav = 0, nat = 5, ntyp = 4
/
ATOMIC_SPECIES
Ag 107.87 Ag.upf
H 1.01 H.upf
Ir 192.22 Ir.upf
Rh 102.91 Rh.upf
CELL_PARAMETERS angstrom
3.957 0.000 0.000
0.000 3.957 0.000
0.000 0.000 4.040
ATOMIC_POSITIONS crystal
Ag 0.000 0.000 0.000
H 0.500 0.500 0.500
Ir 0.000 0.500 0.500
Ir 0.500 0.000 0.500
Rh 0.500 0.500 0.000
```

Properties
* E_tot: -29.52 eV per cell
* ρ: 15653 kg/m3
* DOS at the Fermi energy: 6.0 states/eV per cell

***

Ag2HIrRh | GGA-PBE | relaxed Values from VASP.

Cell and atoms, written as Quantum ESPRESSO input:
```
&SYSTEM
  ibrav = 0, nat = 5, ntyp = 4
/
ATOMIC_SPECIES
Ag 107.87 Ag.upf
H 1.01 H.upf
Ir 192.22 Ir.upf
Rh 102.91 Rh.upf
CELL_PARAMETERS angstrom
4.250 0.000 0.000
0.000 4.250 0.000
0.000 0.000 3.723
ATOMIC_POSITIONS crystal
Ag 0.000 0.500 0.000
Ag 0.500 0.000 0.000
H 0.000 0.000 0.000
Ir 0.000 0.000 0.500
Rh 0.500 0.500 0.500
```

Properties
* E_tot: -22.88 eV per cell
* ρ: 12637 kg/m3
* DOS at the Fermi energy: 5.5 states/eV per cell

***

AgHIrRh2 | GGA-PBE | relaxed Values from VASP.

Cell and atoms, written as Quantum ESPRESSO input:
```
&SYSTEM
  ibrav = 0, nat = 5, ntyp = 4
/
ATOMIC_SPECIES
Ag 107.87 Ag.upf
H 1.01 H.upf
Ir 192.22 Ir.upf
Rh 102.91 Rh.upf
CELL_PARAMETERS angstrom
3.993 0.000 0.000
0.000 3.993 0.000
0.000 0.000 3.941
ATOMIC_POSITIONS crystal
Ag 0.000 0.000 0.000
H 0.500 0.500 0.500
Ir 0.500 0.500 0.000
Rh 0.000 0.500 0.500
Rh 0.500 0.000 0.500
```

Properties
* E_tot: -28.46 eV per cell
* ρ: 13398 kg/m3
* DOS at the Fermi energy: 8.7 states/eV per cell

***

AgHIrRh2 | GGA-PBE | relaxed Values from VASP.

Cell and atoms, written as Quantum ESPRESSO input:
```
&SYSTEM
  ibrav = 0, nat = 5, ntyp = 4
/
ATOMIC_SPECIES
Ag 107.87 Ag.upf
H 1.01 H.upf
Ir 192.22 Ir.upf
Rh 102.91 Rh.upf
CELL_PARAMETERS angstrom
3.948 0.000 0.000
0.000 3.948 0.000
0.000 0.000 4.028
ATOMIC_POSITIONS crystal
Ag 0.000 0.000 0.000
H 0.000 0.000 0.500
Ir 0.500 0.500 0.000
Rh 0.000 0.500 0.500
Rh 0.500 0.000 0.500
```

Properties
* E_tot: -28.15 eV per cell
* ρ: 13410 kg/m3
* DOS at the Fermi energy: 6.4 states/eV per cell

***

SmAgH8Ir2 | GGA-PBE | relaxed Values from VASP.

Cell and atoms, written as Quantum ESPRESSO input:
```
&SYSTEM
  ibrav = 0, nat = 12, ntyp = 4
/
ATOMIC_SPECIES
Sm 150.36 Sm.upf
Ag 107.87 Ag.upf
H 1.01 H.upf
Ir 192.22 Ir.upf
CELL_PARAMETERS angstrom
4.365 -2.222 0.000
4.365 2.222 0.000
-2.342 0.000 5.558
ATOMIC_POSITIONS crystal
Sm 0.000 0.000 0.000
Ag 0.500 0.500 0.500
H 0.059 0.568 0.166
H 0.237 0.237 0.386
H 0.420 0.420 0.847
H 0.432 0.941 0.834
H 0.568 0.059 0.166
H 0.580 0.580 0.153
H 0.763 0.763 0.614
H 0.941 0.432 0.834
Ir 0.221 0.221 0.658
Ir 0.779 0.779 0.342
```

Properties
* E_tot: -53.67 eV per cell
* ρ: 10022 kg/m3
* DOS at the Fermi energy: 1.4 states/eV per cell

***

SrAgHIr2 | GGA-PBE | relaxed Values from VASP.

Cell and atoms, written as Quantum ESPRESSO input:
```
&SYSTEM
  ibrav = 0, nat = 5, ntyp = 4
/
ATOMIC_SPECIES
Sr 87.62 Sr.upf
Ag 107.87 Ag.upf
H 1.01 H.upf
Ir 192.22 Ir.upf
CELL_PARAMETERS angstrom
5.217 0.000 0.000
0.000 5.217 0.000
0.000 0.000 3.535
ATOMIC_POSITIONS crystal
Sr 0.000 0.000 0.000
Ag 0.500 0.500 0.500
H 0.000 0.000 0.500
Ir 0.000 0.500 0.000
Ir 0.500 0.000 0.000
```

Properties
* E_tot: -16.60 eV per cell
* ρ: 10028 kg/m3
* DOS at the Fermi energy: 6.5 states/eV per cell

***

SrAgH2Ir | GGA-PBE | relaxed Values from VASP.

Cell and atoms, written as Quantum ESPRESSO input:
```
&SYSTEM
  ibrav = 0, nat = 5, ntyp = 4
/
ATOMIC_SPECIES
Sr 87.62 Sr.upf
Ag 107.87 Ag.upf
H 1.01 H.upf
Ir 192.22 Ir.upf
CELL_PARAMETERS angstrom
4.019 0.000 0.000
0.000 4.019 0.000
0.000 0.000 5.140
ATOMIC_POSITIONS crystal
Sr 0.000 0.000 0.000
Ag 0.500 0.500 0.000
H 0.000 0.500 0.500
H 0.500 0.000 0.500
Ir 0.500 0.500 0.500
```

Properties
* E_tot: -19.06 eV per cell
* ρ: 7793 kg/m3
* DOS at the Fermi energy: 1.4 states/eV per cell

***

Ta2AgHIr | GGA-PBE | relaxed Values from VASP.

Cell and atoms, written as Quantum ESPRESSO input:
```
&SYSTEM
  ibrav = 0, nat = 5, ntyp = 4
/
ATOMIC_SPECIES
Ta 180.95 Ta.upf
Ag 107.87 Ag.upf
H 1.01 H.upf
Ir 192.22 Ir.upf
CELL_PARAMETERS angstrom
4.134 0.000 0.000
0.000 4.134 0.000
0.000 0.000 4.049
ATOMIC_POSITIONS crystal
Ta 0.000 0.500 0.000
Ta 0.500 0.000 0.000
Ag 0.000 0.000 0.500
H 0.500 0.500 0.000
Ir 0.500 0.500 0.500
```

Properties
* E_tot: -38.78 eV per cell
* ρ: 15908 kg/m3
* DOS at the Fermi energy: 3.3 states/eV per cell

***

TbAgH8Ir2 | GGA-PBE | relaxed Values from VASP.

Cell and atoms, written as Quantum ESPRESSO input:
```
&SYSTEM
  ibrav = 0, nat = 12, ntyp = 4
/
ATOMIC_SPECIES
Tb 158.93 Tb.upf
Ag 107.87 Ag.upf
H 1.01 H.upf
Ir 192.22 Ir.upf
CELL_PARAMETERS angstrom
4.347 -2.195 0.000
4.347 2.195 0.000
-2.265 0.000 5.527
ATOMIC_POSITIONS crystal
Tb 0.000 0.000 0.000
Ag 0.500 0.500 0.500
H 0.064 0.568 0.164
H 0.233 0.233 0.382
H 0.419 0.419 0.856
H 0.432 0.936 0.836
H 0.568 0.064 0.164
H 0.581 0.581 0.144
H 0.767 0.767 0.618
H 0.936 0.432 0.836
Ir 0.222 0.222 0.661
Ir 0.778 0.778 0.339
```

Properties
* E_tot: -53.47 eV per cell
* ρ: 10378 kg/m3
* DOS at the Fermi energy: 1.2 states/eV per cell